Density functional theory data (PBE) for a relaxed RbAsBr2F crystal.

relative energy among the computed polymorphs	386	meV/atom
total magnetization	0.08	μB per cell
formation energy (no corrections)	-0.790	eV per atom
space-group type	P4/mmm, No. 123

The structure in extended XYZ format:
```
5
Lattice="6.047 0.000 0.000 0.000 6.047 0.000 0.000 0.000 3.938" Properties=species:S:1:pos:R:3 pbc="T T T"
Rb 3.023 3.023 1.969
Br 3.023 0.000 0.000
As 0.000 0.000 1.969
Br 0.000 3.023 0.000
F 0.000 0.000 0.000
```